# K7Au

K7Au after structural relaxation (PBE-GGA, the Alexandria database).

Computed properties:
Space group: R-3m (166)
E_form (eV per atom): -0.024
M_tot (Bohr magnetons per cell): 0.00
Offset from the most stable computed form (meV/atom): 0.0

```
K7Au
1.0
3.398 1.962 12.015
-3.398 1.962 12.015
0.000 -3.924 12.015
K Au
7 1
Cartesian
0.000 0.000 0.000
0.000 0.000 5.291
0.000 0.000 10.188
0.000 0.000 14.864
0.000 0.000 21.180
0.000 0.000 25.857
0.000 0.000 30.753
0.000 0.000 18.022
```

# HgH4Pb

HgH4Pb after structural relaxation (PBE-GGA, the Alexandria database).

Computed properties:
Space group: P-1 (2)
Total energy (eV per cell): -30.6
M_tot (Bohr magnetons per cell): 0.00

```
HgH4Pb
1.0
5.402 0.000 0.000
-0.055 5.475 0.000
-0.293 -2.581 7.071
Hg H Pb
2 8 2
Cartesian
1.268 1.653 1.398
3.787 1.241 5.674
0.098 2.223 5.377
0.930 -0.877 6.732
1.489 2.484 2.887
2.346 -0.008 1.701
2.709 2.902 5.370
3.565 0.409 4.185
4.124 3.771 0.339
4.957 0.671 1.695
1.139 -1.688 4.747
3.915 4.582 2.325
```

# Rb3NaLi

Rb3NaLi after structural relaxation (PBE-GGA, the Alexandria database).

Computed properties:
Space group: Pm-3m (221)
E_form (eV per atom): 0.199
M_tot (Bohr magnetons per cell): 0.00
Offset from the most stable computed form (meV/atom): 0.0

```
Rb3NaLi
1.0
7.222 0.000 0.000
0.000 7.222 0.000
0.000 0.000 7.222
Rb Na Li
3 1 1
Cartesian
0.000 0.000 3.611
0.000 3.611 0.000
3.611 0.000 0.000
3.611 3.611 3.611
0.000 0.000 0.000
```

# ZnPdI3

ZnPdI3 after structural relaxation (PBE-GGA, the Alexandria database).

Computed properties:
Formation energy (no corrections) (eV per atom): 0.145
Space group: Pm-3m (221)
M_tot (Bohr magnetons per cell): 0.00
Offset from the most stable computed form (meV/atom): 0.0

```
ZnPdI3
1.0
5.517 0.000 0.000
0.000 5.517 0.000
0.000 0.000 5.517
Zn Pd I
1 1 3
Cartesian
0.000 0.000 0.000
2.758 2.758 2.758
0.000 2.758 2.758
2.758 0.000 2.758
2.758 2.758 0.000
```